Hg3HPt SCAN single point on PBEsol structure; raw total energy = -55.20 eV per atom
1.0
5.209 0.000 0.000
0.000 5.209 0.000
0.000 0.000 5.209
Pt Hg H
1 3 1
direct
0.000 0.000 0.000
0.500 0.000 0.000
0.000 0.500 0.000
0.000 0.000 0.500
0.500 0.500 0.500